1.
Entry from Alexandria: a geometry-optimized Tl2CuAg structure (PBE-GGA).

Unit cell a=5.697 b=5.697 c=5.697 alpha=136.11 beta=136.11 gamma=63.82
Fractional positions:
Ag 0.500 0.500 0.000
Cu 0.750 0.250 0.500
Tl 0.000 0.000 0.000
Tl 0.250 0.750 0.500

Results
energy relative to the lowest polymorph listed for this composition = 131.0 meV/atom
total moment = 0.00 μB per formula unit
energy relative to the elements = 0.3012 eV per atom

2.
Entry from Alexandria: a geometry-optimized PuTh2NpSb4 structure (PBE-GGA).

Unit cell a=4.479 b=7.767 c=7.700 alpha=109.61 beta=90.00 gamma=90.00
Each line ends with the local moment (μB).
Fractional positions:
Pu 0.500 0.500 0.000  -5.34
Th 0.500 0.000 0.500  0.00
Th 0.000 0.500 0.500  0.00
Np 0.000 0.000 0.000  3.98
Sb 0.500 0.247 0.243  -0.02
Sb 0.500 0.753 0.757  -0.02
Sb 0.000 0.252 0.756  0.02
Sb 0.000 0.748 0.244  0.02

Results
total moment = 1.35 μB per formula unit
E_form (uncorrected) = -0.680 eV per atom

3.
Entry from Alexandria: a geometry-optimized Dy3Si3Ni structure (PBE-GGA).

Unit cell a=9.188 b=9.188 c=9.188 alpha=155.29 beta=153.91 gamma=36.24
Fractional positions:
Dy 0.815 0.315 0.500
Dy 0.181 0.681 0.500
Dy 0.001 0.001 0.000
Si 0.639 0.139 0.500
Si 0.355 0.855 0.500
Si 0.440 0.440 0.000
Ni 0.567 0.567 0.000

Results
energy relative to the lowest polymorph listed for this composition = 36.7 meV/atom
total moment = 0.00 μB per formula unit
E_form (uncorrected) = -0.785 eV per atom